Entry 1:
Computed, not measured: an optimized crystal structure of Tl2AgIr at the PBE level of DFT.

extended XYZ file:
```
4
Lattice="-1.066 -4.787 -0.015 0.362 -2.606 4.139 -4.051 -1.617 2.242" Properties=species:S:1:pos:R:3 pbc="T T T"
Tl 0.000 0.000 0.000
Tl -3.567 -6.758 4.775
Ir -1.189 -2.253 1.592
Ag -2.378 -4.505 3.183
```

Computed properties:
The value obtained for the total magnetization is 0.0 μB/cell. The formation energy is 0.60 eV/atom. The offset from the most stable computed form is 278 meV per atom.

Entry 2:
Computed, not measured: an optimized crystal structure of AcAsPd3 at the PBE level of DFT.

extended XYZ file:
```
5
Lattice="-3.924 -0.597 -1.693 1.619 -2.933 -2.720 0.163 -2.211 5.903" Properties=species:S:1:pos:R:3 pbc="T T T"
Ac -0.017 -0.068 0.063
As -1.438 -2.909 -1.143
Pd 0.297 -3.525 0.554
Pd -2.475 -2.357 1.068
Pd -0.831 -3.338 3.104
```

Computed properties:
The value obtained for the total magnetization is 0.0 μB/cell. The formation energy is -0.79 eV/atom. The offset from the most stable computed form is 9 meV per atom.

Entry 3:
Computed, not measured: an optimized crystal structure of H3IrPb at the PBE level of DFT.

extended XYZ file:
```
5
Lattice="3.767 0.000 0.000 0.000 3.767 0.000 0.000 0.000 3.767" Properties=species:S:1:pos:R:3 pbc="T T T"
Pb 1.883 1.883 1.883
H 0.000 1.883 0.000
H 0.000 0.000 1.883
H 1.883 0.000 0.000
Ir 0.000 0.000 0.000
```

Computed properties:
The value obtained for the total magnetization is 0.0 μB/cell. The offset from the most stable computed form is 58 meV per atom.

Entry 4:
Computed, not measured: an optimized crystal structure of AcLaCd6 at the PBE level of DFT.

extended XYZ file:
```
8
Lattice="5.024 0.000 0.000 0.000 6.956 0.046 0.000 -3.039 6.257" Properties=species:S:1:pos:R:3 pbc="T T T"
Ac 2.512 0.908 3.804
La 0.000 -2.002 5.613
Cd 0.000 -0.841 2.321
Cd 0.000 1.464 6.029
Cd 0.000 2.859 2.591
Cd 2.512 2.737 0.815
Cd 2.512 4.398 3.488
Cd 2.512 6.141 0.552
```

Computed properties:
The value obtained for the total magnetization is 0.0 μB/cell. The formation energy is -0.29 eV/atom.

Entry 5:
Computed, not measured: an optimized crystal structure of NbNiS at the PBE level of DFT.

extended XYZ file:
```
9
Lattice="3.345 0.000 0.000 -1.673 2.897 0.000 0.000 0.000 13.750" Properties=species:S:1:pos:R:3 pbc="T T T"
Ni 0.000 0.000 2.143
Ni 0.000 1.932 11.310
Ni 1.673 0.966 6.727
Nb 0.000 0.000 13.141
Nb 0.000 1.932 8.557
Nb 1.673 0.966 3.974
S 0.000 0.000 10.189
S 0.000 1.932 5.606
S 1.673 0.966 1.022
```

Computed properties:
The value obtained for the total magnetization is 0.0 μB/cell. The calculation puts the raw formation energy at -0.43 eV per atom. The offset from the most stable computed form is 145 meV per atom.

Entry 6:
Computed, not measured: an optimized crystal structure of HfZnSnC2 at the PBE level of DFT.

extended XYZ file:
```
5
Lattice="-1.097 -3.421 2.323 5.601 -1.655 0.208 0.536 2.265 3.589" Properties=species:S:1:pos:R:3 pbc="T T T"
C 0.268 1.133 1.795
C -0.549 -1.710 1.161
Zn 2.520 -1.405 3.060
Hf 0.000 0.000 0.000
Sn 2.801 -0.828 0.104
```

Computed properties:
The value obtained for the total magnetization is 0.0 μB/cell. The formation energy is 1.50 eV/atom.

Entry 7:
Computed, not measured: an optimized crystal structure of ScTe3N at the PBE level of DFT.

extended XYZ file:
```
5
Lattice="-4.361 0.413 3.396 -2.734 -3.729 -3.056 2.057 -4.080 3.137" Properties=species:S:1:pos:R:3 pbc="T T T"
Sc 0.000 0.000 0.000
Te -1.367 -1.864 -1.528
Te 1.028 -2.040 1.569
Te -2.180 0.207 1.698
N -2.519 -3.698 1.738
```

Computed properties:
The value obtained for the total magnetization is 2.0 μB/cell. The calculation puts the raw formation energy at 0.80 eV per atom. The offset from the most stable computed form is 592 meV per atom.

Entry 8:
Computed, not measured: an optimized crystal structure of HoNi4Pd at the PBE level of DFT.

extended XYZ file:
```
6
Lattice="-1.667 -3.274 -3.229 2.345 -0.665 -4.240 2.488 -4.135 -0.796" Properties=species:S:1:pos:R:3 pbc="T T T"
Ni 0.731 -2.974 -4.771
Ni 0.803 -4.717 -3.041
Ni 1.981 -5.051 -5.171
Ni 2.818 -3.407 -3.549
Ho 0.792 -2.019 -2.066
Pd 0.000 0.000 0.000
```

Computed properties:
The value obtained for the total magnetization is 0.9 μB/cell. The formation energy is -0.37 eV/atom.

no.,electronic total energy (eV per atom)
1,-3.514
2,-5.661
3,-4.364
4,-2.107
5,-7.092
6,-5.240
7,-4.020
8,-5.850